Record 1
A plane-wave DFT calculation with PBE-GGA was carried out for ScAl2Fe after structural relaxation.

Cell lengths 3.0754, 3.0754, 6.6092 Å; angles 90.00, 90.00, 90.00 degrees
Closest atoms and distances in Å follow each position.
Space group P4mm (No. 99)
Asymmetric unit:
Sc 0.0000 0.0000 0.0000 (multiplicity 1)  4 Fe 2.75, 5 Al 2.82-3.02, 4 Sc 3.08
Al 0.0000 0.0000 0.5740 (multiplicity 1)  4 Fe 2.45
Al 0.5000 0.5000 0.3181 (multiplicity 1)  8 Al 2.76-3.08, 1 Fe 2.83, 4 Sc 3.02
Fe 0.5000 0.5000 0.7463 (multiplicity 1)  4 Al 2.45, 4 Sc 2.75

E_form	-0.266	eV per atom
size of the total moment	0.0	μB per formula unit

Record 2
A plane-wave DFT calculation with PBE-GGA was carried out for Sc12Al3Fe after structural relaxation.

Cell lengths 4.4116, 4.4116, 17.5338 Å; angles 90.00, 90.00, 90.00 degrees
Closest atoms and distances in Å follow each position.
Space group P4/mmm (No. 123)
Asymmetric unit:
Sc 0.0000 0.0000 0.0000 (multiplicity 1)  8 Sc 3.01, 4 Fe 3.12
Sc 0.0000 0.0000 0.2468 (multiplicity 2)  4 Al 3.12, 8 Sc 3.13-3.17
Sc 0.0000 0.0000 0.5000 (multiplicity 1)  4 Al 3.12, 8 Sc 3.12
Sc 0.0000 0.5000 0.1172 (multiplicity 4)  2 Fe 3.01, 8 Sc 3.01-3.17, 2 Al 3.17
Sc 0.0000 0.5000 0.3738 (multiplicity 4)  8 Sc 3.12-3.13, 4 Al 3.12-3.13
Al 0.5000 0.5000 0.2473 (multiplicity 2)  12 Sc 3.12-3.17
Al 0.5000 0.5000 0.5000 (multiplicity 1)  12 Sc 3.12
Fe 0.5000 0.5000 0.0000 (multiplicity 1)  12 Sc 3.01-3.12

E_form	-0.153	eV per atom
size of the total moment	0.9	μB per formula unit

Record 3
A plane-wave DFT calculation with PBE-GGA was carried out for ScAlFe2 after structural relaxation.

Cell lengths 2.8170, 2.8170, 7.2077 Å; angles 90.00, 90.00, 90.00 degrees
Closest atoms and distances in Å follow each position.
Space group P4/mmm (No. 123)
Asymmetric unit:
Sc 0.0000 0.0000 0.0000 (multiplicity 1)  4 Sc 2.82, 8 Fe 2.83
Al 0.0000 0.0000 0.5000 (multiplicity 1)  8 Fe 2.55, 4 Al 2.82
Fe 0.5000 0.5000 0.2782 (multiplicity 2)  4 Al 2.55, 4 Fe 2.82, 4 Sc 2.83

E_form	-0.085	eV per atom
size of the total moment	3.3	μB per formula unit

Record 4
A plane-wave DFT calculation with PBE-GGA was carried out for ScAl2Fe after structural relaxation.

Cell lengths 3.8344, 3.8344, 19.0980 Å; angles 90.00, 90.00, 90.00 degrees
Closest atoms and distances in Å follow each position.
Space group I-42d (No. 122)
Asymmetric unit:
Sc 0.0000 0.0000 0.0000 (multiplicity 4)  4 Fe 2.71, 4 Al 2.77
Al 0.2293 0.2500 0.6250 (multiplicity 8)  4 Al 2.60-2.83, 2 Fe 2.72, 2 Sc 2.77
Fe 0.0000 0.0000 0.5000 (multiplicity 4)  4 Sc 2.71, 4 Al 2.72

E_form	0.177	eV per atom
size of the total moment	1.2	μB per formula unit

Record 5
A plane-wave DFT calculation with PBE-GGA was carried out for ScAlFe2 after structural relaxation.

Cell lengths 4.1668, 4.1668, 3.1692 Å; angles 90.00, 90.00, 90.00 degrees
Closest atoms and distances in Å follow each position.
Space group P4/mmm (No. 123)
Asymmetric unit:
Sc 0.0000 0.0000 0.0000 (multiplicity 1)  8 Fe 2.62
Al 0.5000 0.5000 0.0000 (multiplicity 1)  8 Fe 2.62
Fe 0.0000 0.5000 0.5000 (multiplicity 2)  4 Sc 2.62, 4 Al 2.62

E_form	-0.173	eV per atom
size of the total moment	2.1	μB per formula unit

Record 6
A plane-wave DFT calculation with PBE-GGA was carried out for ScAl2Fe after structural relaxation.

Cell lengths 4.4041, 4.4041, 6.2154 Å; angles 90.00, 90.00, 90.00 degrees
Closest atoms and distances in Å follow each position.
Space group I-4m2 (No. 119)
Asymmetric unit:
Sc 0.0000 0.0000 0.0000 (multiplicity 2)  4 Fe 2.70, 4 Al 2.70
Al 0.0000 0.0000 0.5000 (multiplicity 2)  4 Fe 2.70, 4 Al 2.70
Al 0.0000 0.5000 0.2500 (multiplicity 2)  4 Sc 2.70, 4 Al 2.70
Fe 0.0000 0.5000 0.7500 (multiplicity 2)  4 Al 2.70, 4 Sc 2.70

E_form	-0.209	eV per atom
size of the total moment	0.8	μB per formula unit

Record 7
A plane-wave DFT calculation with PBE-GGA was carried out for ScAlFe after structural relaxation.

Cell lengths 3.0879, 3.0879, 9.7224 Å; angles 90.00, 90.00, 90.00 degrees
Closest atoms and distances in Å follow each position.
Space group I4mm (No. 107)
Asymmetric unit:
Sc 0.0000 0.0000 0.0000 (multiplicity 2)  4 Fe 2.69, 5 Al 2.80-3.01
Al 0.0000 0.0000 0.2875 (multiplicity 2)  4 Fe 2.50, 1 Sc 2.80
Fe 0.0000 0.0000 0.6621 (multiplicity 2)  4 Al 2.50, 4 Sc 2.69

E_form	-0.307	eV per atom
size of the total moment	0.0	μB per formula unit

Record 8
A plane-wave DFT calculation with PBE-GGA was carried out for ScAl2Fe after structural relaxation.

Cell lengths 2.8282, 4.2498, 5.4272 Å; angles 90.00, 104.77, 90.00 degrees
Closest atoms and distances in Å follow each position.
Space group P2/m (No. 10)
Asymmetric unit:
Sc 0.0000 0.0000 0.0000 (multiplicity 1)  2 Fe 2.71, 2 Sc 2.83, 8 Al 2.91-2.96
Al 0.3814 0.5000 0.7233 (multiplicity 2)  2 Fe 2.55, 4 Al 2.67-2.83
Fe 0.0000 0.0000 0.5000 (multiplicity 1)  4 Al 2.55, 2 Sc 2.71, 2 Fe 2.83

E_form	-0.216	eV per atom
size of the total moment	1.1	μB per formula unit

Record 9
A plane-wave DFT calculation with PBE-GGA was carried out for ScAlFe2 after structural relaxation.

Cell lengths 3.7079, 3.7079, 8.3961 Å; angles 90.00, 90.00, 90.00 degrees
Closest atoms and distances in Å follow each position.
Space group I-4m2 (No. 119)
Asymmetric unit:
Sc 0.0000 0.0000 0.0000 (multiplicity 2)  8 Fe 2.62-2.80, 4 Al 2.80
Al 0.0000 0.5000 0.7500 (multiplicity 2)  8 Fe 2.62-2.80, 4 Sc 2.80
Fe 0.0000 0.0000 0.5000 (multiplicity 2)  4 Sc 2.62, 4 Al 2.80, 4 Fe 2.80
Fe 0.0000 0.5000 0.2500 (multiplicity 2)  4 Al 2.62, 4 Fe 2.80, 4 Sc 2.80

E_form	-0.126	eV per atom
size of the total moment	3.3	μB per formula unit

Record 10
A plane-wave DFT calculation with PBE-GGA was carried out for ScAlFe after structural relaxation.

Cell lengths 5.1854, 5.1854, 37.0282 Å; angles 90.00, 90.00, 120.00 degrees
Closest atoms and distances in Å follow each position.
Space group R-3m (No. 166, hexagonal axes)
Asymmetric unit:
Sc 0.0000 0.0000 0.0396 (multiplicity 6)  4 Sc 2.93-3.13, 9 Fe 2.98-3.03, 3 Al 3.02
Sc 0.0000 0.0000 0.1801 (multiplicity 6)  9 Al 3.00-3.04, 3 Fe 3.03, 4 Sc 3.15-3.31
Sc 0.0000 0.0000 0.2694 (multiplicity 6)  6 Fe 2.80-3.03, 6 Al 3.11, 3 Sc 3.13
Al 0.0036 0.5018 0.2231 (multiplicity 18)  2 Fe 2.56-2.62, 4 Al 2.56-2.62
Fe 0.0000 0.0000 0.3852 (multiplicity 6)  3 Fe 2.44, 3 Al 2.62
Fe 0.0000 0.0000 0.5000 (multiplicity 3)  6 Al 2.56
Fe 0.0000 0.5000 0.0000 (multiplicity 9)  6 Fe 2.44-2.59

E_form	-0.386	eV per atom
size of the total moment	1.2	μB per formula unit

Record 11
A plane-wave DFT calculation with PBE-GGA was carried out for ScAl2FeSi after structural relaxation.

Cell lengths 4.7056, 4.7056, 4.2458 Å; angles 90.00, 90.00, 90.00 degrees
Closest atoms and distances in Å follow each position.
Space group P4/mmm (No. 123)
Asymmetric unit:
Sc 0.0000 0.0000 0.0000 (multiplicity 1)  8 Al 3.17, 4 Fe 3.33
Al 0.0000 0.5000 0.5000 (multiplicity 2)  2 Si 2.35
Fe 0.5000 0.5000 0.0000 (multiplicity 1)  2 Si 2.12
Si 0.5000 0.5000 0.5000 (multiplicity 1)  2 Fe 2.12, 4 Al 2.35

ΔE_f (raw)	0.362	eV/atom
size of the total moment	1.2	μB per formula unit

Record 12
A plane-wave DFT calculation with PBE-GGA was carried out for Sm2ScAl12Fe3 after structural relaxation.

Cell lengths 8.5248, 8.5248, 18.3354 Å; angles 90.00, 90.00, 120.00 degrees
Closest atoms and distances in Å follow each position.
Space group R-3m (No. 166, hexagonal axes)
Asymmetric unit:
Sm 0.0000 0.0000 0.0821 (multiplicity 6)  1 Sm 3.01, 3 Al 3.05
Sc 0.0000 0.0000 0.5000 (multiplicity 3)  12 Al 3.16-3.29
Al 0.0789 0.5395 0.8797 (multiplicity 18)  1 Fe 2.28
Al 0.0960 0.5480 0.3186 (multiplicity 18)  2 Fe 2.21
Fe 0.0000 0.5000 0.0000 (multiplicity 9)  6 Al 2.21-2.28

E_form	0.182	eV per atom
size of the total moment	0.0	μB per formula unit